No. 1
Ag2AsOs | PBE | optimized geometry

a b c (Å): 4.5515 3.8161 3.8161
angles (deg): 90.00 90.00 90.00
With the nearest neighbours (Å) after each atom.
Element x y z (fractional)
As1 0.5000 0.5000 0.0000  4 Os 2.70, 8 Ag 2.97
Os1 0.5000 0.0000 0.5000  4 As 2.70, 8 Ag 2.97
Ag1 0.0000 0.0000 0.0000  4 Ag 2.70, 4 As 2.97, 4 Os 2.97
Ag2 0.0000 0.5000 0.5000  4 Ag 2.70, 4 As 2.97, 4 Os 2.97

Results
calculated volume: 66 Å³/f.u.


No. 2
Ag2AsOs | PBE | optimized geometry

a b c (Å): 7.5569 7.5569 5.9039
angles (deg): 50.21 50.21 90.00
With the nearest neighbours (Å) after each atom.
Element x y z (fractional)
As1 0.5000 0.5000 0.0000  2 Os 2.51, 4 Ag 2.67
As2 0.2500 0.7500 0.5000  2 Os 2.51, 4 Ag 2.67
Os1 0.0000 0.0000 0.0000  2 As 2.51
Os2 0.7500 0.2500 0.5000  2 As 2.51
Ag1 0.6100 0.1250 0.2500  2 Ag 2.52, 2 As 2.67
Ag2 0.1400 0.6250 0.2500  2 Ag 2.52, 2 As 2.67
Ag3 0.3750 0.3900 0.7500  2 Ag 2.52, 2 As 2.67
Ag4 0.8750 0.8600 0.7500  2 Ag 2.52, 2 As 2.67

Results
calculated volume: 72 Å³/f.u.


No. 3
Ag2AsOs | PBE | optimized geometry

a b c (Å): 5.6903 5.6903 4.2450
angles (deg): 68.10 68.10 31.72
With the nearest neighbours (Å) after each atom.
Element x y z (fractional)
As1 0.7500 0.7500 0.7500  4 Os 2.63, 4 Ag 2.77
Os1 0.2500 0.2500 0.2500  4 As 2.63
Ag1 0.0230 0.0230 0.9771  4 Ag 2.67, 2 As 2.77
Ag2 0.4770 0.4770 0.5229  4 Ag 2.67, 2 As 2.77

Results
calculated volume: 67 Å³/f.u.


No. 4
AgAsOsS2 | PBE | optimized geometry

a b c (Å): 4.4228 5.4821 4.4228
angles (deg): 90.00 90.00 90.00
With the nearest neighbours (Å) after each atom.
Element x y z (fractional)
As1 0.5000 0.5000 0.5000  4 Ag 3.13
Os1 0.0000 0.0000 0.0000  4 S 2.21
S1 0.0000 0.0000 0.5000  2 Os 2.21
S2 0.5000 0.0000 0.0000  2 Os 2.21
Ag1 0.0000 0.5000 0.0000  2 Os 2.74

Results
calculated volume: 107 Å³/f.u.
energy relative to the elements, uncorrected: 3.8 eV per formula unit


No. 5
ScAgAs2Os | PBE | optimized geometry

a b c (Å): 4.7031 5.1711 4.7031
angles (deg): 90.00 90.00 90.00
With the nearest neighbours (Å) after each atom.
Element x y z (fractional)
Sc1 0.5000 0.5000 0.5000  4 Ag 3.33, 8 As 3.49
As1 0.0000 0.0000 0.5000  2 Os 2.35
As2 0.5000 0.0000 0.0000  2 Os 2.35
Os1 0.0000 0.0000 0.0000  4 As 2.35, 2 Ag 2.59
Ag1 0.0000 0.5000 0.0000  2 Os 2.59

Results
calculated volume: 114 Å³/f.u.


No. 6
AgAsOsSe2 | PBE | optimized geometry

a b c (Å): 5.0786 5.0786 4.6407
angles (deg): 90.00 90.00 90.00
With the nearest neighbours (Å) after each atom.
Element x y z (fractional)
As1 0.0000 0.0000 0.5000  2 Os 2.32
Os1 0.0000 0.0000 0.0000  2 As 2.32, 4 Se 2.54
Se1 0.0000 0.5000 0.0000  2 Os 2.54
Se2 0.5000 0.0000 0.0000  2 Os 2.54
Ag1 0.5000 0.5000 0.5000  8 Se 3.44, 4 As 3.59

Results
calculated volume: 120 Å³/f.u.
energy relative to the elements, uncorrected: 3.5 eV per formula unit


No. 7
AgAsP2 | PBE | optimized geometry

a b c (Å): 4.7157 2.7253 5.5717
angles (deg): 89.98 90.00 90.00
With the nearest neighbours (Å) after each atom.
Element x y z (fractional)
Ag1 0.5000 0.2500 0.2500  2 Ag 2.73, 8 P 2.94-2.95
As1 0.5000 0.7500 0.7500  2 As 2.73, 4 P 2.89
P1 0.0000 0.7509 0.0490  1 P 2.24
P2 0.0000 0.7491 0.4510  1 P 2.24

Results
calculated volume: 72 Å³/f.u.


No. 8
AgAsP2 | PBE | optimized geometry

a b c (Å): 6.4901 6.4901 6.4901
angles (deg): 152.01 145.13 45.29
With the nearest neighbours (Å) after each atom.
Element x y z (fractional)
Ag1 0.5374 0.5374 0.0000  4 P 2.74, 2 As 2.86
As1 0.2128 0.7128 0.5000  4 P 2.74, 2 Ag 2.86
P1 0.9433 0.9433 0.0000  2 P 2.27
P2 0.8065 0.3065 0.5000  2 P 2.27

Results
calculated volume: 73 Å³/f.u.


No. 9
AgAs2P | PBE | optimized geometry

a b c (Å): 3.5150 4.4017 23.0699
angles (deg): 90.00 90.05 90.00
With the nearest neighbours (Å) after each atom.
Element x y z (fractional)
P1 0.2509 0.8335 0.1085  3 As 2.39
P2 0.7490 0.3335 0.3915  3 As 2.39
P3 0.7490 0.1665 0.8915  3 As 2.39
P4 0.2509 0.6665 0.6085  3 As 2.39
As1 0.2502 0.1542 0.0251  1 P 2.39, 2 As 2.50
As2 0.7498 0.6542 0.4749  1 P 2.39, 2 As 2.50
As3 0.7498 0.8458 0.9749  1 P 2.39, 2 As 2.50
As4 0.2502 0.3458 0.5251  1 P 2.39, 2 As 2.50
As5 0.2487 0.5832 0.3402  2 P 2.39, 1 Ag 2.65
As6 0.7513 0.0832 0.1598  2 P 2.39, 1 Ag 2.65
As7 0.7513 0.4168 0.6598  2 P 2.39, 1 Ag 2.65
As8 0.2487 0.9168 0.8402  2 P 2.39, 1 Ag 2.65
Ag1 0.2497 0.1056 0.2703  2 As 2.65-2.81
Ag2 0.7503 0.6056 0.2297  2 As 2.65-2.81
Ag3 0.7503 0.8944 0.7297  2 As 2.65-2.81
Ag4 0.2497 0.3944 0.7703  2 As 2.65-2.81

Results
calculated volume: 89 Å³/f.u.


No. 10
AgAsP | PBE | optimized geometry

a b c (Å): 7.5378 7.2715 2.8958
angles (deg): 83.95 73.60 22.46
With the nearest neighbours (Å) after each atom.
Element x y z (fractional)
Ag1 0.0049 0.0049 0.9951  2 P 2.72, 2 As 2.89, 6 Ag 2.90-2.98
As1 0.3306 0.3306 0.6694  2 P 2.80, 2 Ag 2.89, 6 As 2.90-2.98
P1 0.6644 0.6644 0.3356  2 Ag 2.72, 2 As 2.80, 6 P 2.90-2.98

Results
calculated volume: 53 Å³/f.u.


No. 11
AgAs3P | PBE | optimized geometry

a b c (Å): 4.7798 4.7798 4.7798
angles (deg): 90.00 90.00 90.00
With the nearest neighbours (Å) after each atom.
Element x y z (fractional)
P1 0.0000 0.0000 0.0000  6 As 2.39
As1 0.0000 0.5000 0.0000  2 P 2.39
As2 0.0000 0.0000 0.5000  2 P 2.39
As3 0.5000 0.0000 0.0000  2 P 2.39
Ag1 0.5000 0.5000 0.5000  12 As 3.38

Results
calculated volume: 109 Å³/f.u.


No. 12
AgAsP | PBE | optimized geometry

a b c (Å): 2.8873 2.8873 7.5104
angles (deg): 90.00 90.00 120.00
With the nearest neighbours (Å) after each atom.
Element x y z (fractional)
Ag1 0.0000 0.0000 0.9910  3 P 2.77, 6 Ag 2.89, 3 As 2.93
As1 0.6667 0.3333 0.3119  6 As 2.89, 3 Ag 2.93
P1 0.3333 0.6667 0.6971  3 Ag 2.77, 6 P 2.89

Results
calculated volume: 54 Å³/f.u.


no.,uncorrected energy (eV/atom)
1,-4.7585
2,-4.5861
3,-4.8322
4,-4.6438
5,-5.5021
6,-4.4313
7,-4.1554
8,-4.2088
9,-4.2453
10,-3.8090
11,-3.7037
12,-3.8079